Density functional theory data (PBE) for an optimized crystal structure of Mn2TlOs.

a b c (Å): 4.683 4.683 4.928
angles (deg): 98.97 98.97 36.19
Positions (direct):
Mn (0.000, 0.000, 0.000)
Mn (0.245, 0.245, 0.762)
Tl (0.755, 0.755, 0.266)
Os (0.510, 0.510, 0.585)

* formation enthalpy at 0 K: 524 meV per atom
* electronic total energy: -7.460 eV/atom
* excess energy over the best structure of this formula in the dataset: 43 kJ/mol of formula units
* calculated volume: 15.7 A^3/atom
* SG: Cm

Density functional theory data (PBE) for an optimized crystal structure of ErTmPu2P4.

a b c (Å): 6.835 3.988 6.906
angles (deg): 90.00 109.69 90.00
Positions (direct):
Er (0.000, 0.000, 0.000)
Tm (0.000, 0.500, 0.500)
Pu (0.500, 0.000, 0.500)
Pu (0.500, 0.500, 0.000)
P (0.252, 0.000, 0.750)
P (0.253, 0.500, 0.251)
P (0.747, 0.500, 0.749)
P (0.748, 0.000, 0.250)

* formation enthalpy at 0 K: -1381 meV per atom
* electronic total energy: -8.798 eV/atom
* calculated volume: 22.2 A^3/atom
* SG: P2/m

Density functional theory data (PBE) for an optimized crystal structure of HfTiSi.

a b c (Å): 5.246 5.246 5.246
angles (deg): 120.60 120.08 89.41
Positions (direct):
Hf (0.372, 0.122, 0.250)
Hf (0.628, 0.878, 0.750)
Ti (0.000, 0.000, 0.500)
Ti (0.000, 0.500, 0.000)
Si (0.000, 0.500, 0.500)
Si (0.500, 0.500, 0.000)

* electronic total energy: -8.261 eV/atom
* calculated volume: 16.9 A^3/atom
* SG: Imma

Density functional theory data (PBE) for an optimized crystal structure of Ba3Sr3Hg4.

a b c (Å): 4.573 9.399 9.399
angles (deg): 89.94 90.00 90.00
Positions (direct):
Ba (0.000, 0.000, 0.000)
Ba (0.000, 0.494, 0.800)
Ba (0.000, 0.800, 0.494)
Sr (0.000, 0.304, 0.304)
Sr (0.500, 0.149, 0.643)
Sr (0.500, 0.643, 0.149)
Hg (0.500, 0.016, 0.296)
Hg (0.500, 0.296, 0.016)
Hg (0.500, 0.497, 0.497)
Hg (0.500, 0.793, 0.793)

* formation enthalpy at 0 K: -422 meV per atom
* electronic total energy: -1.624 eV/atom
* calculated volume: 40.4 A^3/atom
* SG: Amm2

Density functional theory data (PBE) for an optimized crystal structure of ZrSb2Se.

a b c (Å): 5.886 5.886 4.843
angles (deg): 97.23 97.23 35.80
Positions (direct):
Zr (0.000, 0.000, 0.000)
Sb (0.285, 0.285, 0.778)
Sb (0.715, 0.715, 0.222)
Se (0.500, 0.500, 0.500)

* electronic total energy: -5.374 eV/atom
* calculated volume: 24.3 A^3/atom
* SG: C2/m

Density functional theory data (PBE) for an optimized crystal structure of Y3Pd5Se12.

a b c (Å): 13.637 13.637 13.637
angles (deg): 109.47 109.47 109.47
Positions (direct):
Y (0.125, 0.250, 0.375)
Y (0.125, 0.375, 0.750)
Y (0.250, 0.375, 0.125)
Y (0.250, 0.875, 0.625)
Y (0.375, 0.125, 0.250)
Y (0.375, 0.750, 0.125)
Y (0.625, 0.250, 0.875)
Y (0.625, 0.875, 0.750)
Y (0.750, 0.125, 0.375)
Y (0.750, 0.625, 0.875)
Y (0.875, 0.625, 0.250)
Y (0.875, 0.750, 0.625)
Pd (0.000, 0.000, 0.000)
Pd (0.000, 0.000, 0.500)
Pd (0.000, 0.500, 0.000)
Pd (0.000, 0.500, 0.500)
Pd (0.125, 0.750, 0.875)
Pd (0.125, 0.875, 0.250)
Pd (0.250, 0.125, 0.875)
Pd (0.250, 0.625, 0.375)
Pd (0.375, 0.250, 0.625)
Pd (0.375, 0.625, 0.750)
Pd (0.500, 0.000, 0.000)
Pd (0.500, 0.000, 0.500)
Pd (0.500, 0.500, 0.000)
Pd (0.500, 0.500, 0.500)
Pd (0.625, 0.375, 0.250)
Pd (0.625, 0.750, 0.375)
Pd (0.750, 0.375, 0.625)
Pd (0.750, 0.875, 0.125)
Pd (0.875, 0.125, 0.750)
Pd (0.875, 0.250, 0.125)
Se (0.039, 0.209, 0.128)
Se (0.039, 0.330, 0.911)
Se (0.080, 0.709, 0.670)
Se (0.080, 0.872, 0.411)
Se (0.089, 0.628, 0.420)
Se (0.089, 0.961, 0.670)
Se (0.128, 0.039, 0.209)
Se (0.128, 0.589, 0.920)
Se (0.170, 0.209, 0.580)
Se (0.170, 0.461, 0.589)
Se (0.209, 0.128, 0.039)
Se (0.209, 0.580, 0.170)
Se (0.291, 0.330, 0.920)
Se (0.291, 0.461, 0.372)
Se (0.330, 0.911, 0.039)
Se (0.330, 0.920, 0.291)
Se (0.372, 0.291, 0.461)
Se (0.372, 0.580, 0.911)
Se (0.411, 0.080, 0.872)
Se (0.411, 0.830, 0.539)
Se (0.420, 0.089, 0.628)
Se (0.420, 0.830, 0.791)
Se (0.461, 0.372, 0.291)
Se (0.461, 0.589, 0.170)
Se (0.539, 0.411, 0.830)
Se (0.539, 0.628, 0.709)
Se (0.580, 0.170, 0.209)
Se (0.580, 0.911, 0.372)
Se (0.589, 0.170, 0.461)
Se (0.589, 0.920, 0.128)
Se (0.628, 0.420, 0.089)
Se (0.628, 0.709, 0.539)
Se (0.670, 0.080, 0.709)
Se (0.670, 0.089, 0.961)
Se (0.709, 0.539, 0.628)
Se (0.709, 0.670, 0.080)
Se (0.791, 0.420, 0.830)
Se (0.791, 0.872, 0.961)
Se (0.830, 0.539, 0.411)
Se (0.830, 0.791, 0.420)
Se (0.872, 0.411, 0.080)
Se (0.872, 0.961, 0.791)
Se (0.911, 0.039, 0.330)
Se (0.911, 0.372, 0.580)
Se (0.920, 0.128, 0.589)
Se (0.920, 0.291, 0.330)
Se (0.961, 0.670, 0.089)
Se (0.961, 0.791, 0.872)

* electronic total energy: -5.081 eV/atom
* calculated volume: 24.4 A^3/atom
* SG: Ia-3d

Density functional theory data (PBE) for an optimized crystal structure of TbCdPt6.

a b c (Å): 4.092 4.092 8.155
angles (deg): 90.00 90.00 90.00
Positions (direct):
Tb (0.000, 0.000, 0.000)
Cd (0.000, 0.000, 0.500)
Pt (0.000, 0.500, 0.256)
Pt (0.000, 0.500, 0.744)
Pt (0.500, 0.000, 0.256)
Pt (0.500, 0.000, 0.744)
Pt (0.500, 0.500, 0.000)
Pt (0.500, 0.500, 0.500)

* formation enthalpy at 0 K: -600 meV per atom
* electronic total energy: -5.823 eV/atom
* calculated volume: 17.1 A^3/atom
* SG: P4/mmm

Density functional theory data (PBE) for an optimized crystal structure of LaNiN.

a b c (Å): 3.717 3.717 3.659
angles (deg): 90.00 90.00 120.00
Positions (direct):
La (0.000, 0.000, 0.000)
Ni (0.667, 0.333, 0.500)
N (0.333, 0.667, 0.501)

* electronic total energy: -6.821 eV/atom
* calculated volume: 14.6 A^3/atom
* SG: P3m1

Density functional theory data (PBE) for an optimized crystal structure of HfNp4Ga15.

a b c (Å): 4.201 4.201 21.031
angles (deg): 90.00 90.00 90.00
Positions (direct):
Hf (0.000, 0.000, 0.000)
Np (0.000, 0.000, 0.197)
Np (0.000, 0.000, 0.401)
Np (0.000, 0.000, 0.599)
Np (0.000, 0.000, 0.803)
Ga (0.000, 0.500, 0.097)
Ga (0.000, 0.500, 0.301)
Ga (0.000, 0.500, 0.500)
Ga (0.000, 0.500, 0.699)
Ga (0.000, 0.500, 0.903)
Ga (0.500, 0.000, 0.097)
Ga (0.500, 0.000, 0.301)
Ga (0.500, 0.000, 0.500)
Ga (0.500, 0.000, 0.699)
Ga (0.500, 0.000, 0.903)
Ga (0.500, 0.500, 0.000)
Ga (0.500, 0.500, 0.200)
Ga (0.500, 0.500, 0.400)
Ga (0.500, 0.500, 0.600)
Ga (0.500, 0.500, 0.800)

* formation enthalpy at 0 K: -166 meV per atom
* electronic total energy: -5.522 eV/atom
* calculated volume: 18.6 A^3/atom
* SG: P4/mmm

Density functional theory data (PBE) for an optimized crystal structure of K3Bi4Au4.

a b c (Å): 14.473 14.473 14.473
angles (deg): 160.21 159.59 28.58
Positions (direct):
K (0.000, 0.000, 0.000)
K (0.141, 0.641, 0.500)
K (0.859, 0.359, 0.500)
Bi (0.249, 0.249, 0.000)
Bi (0.406, 0.906, 0.500)
Bi (0.594, 0.094, 0.500)
Bi (0.751, 0.751, 0.000)
Au (0.306, 0.806, 0.500)
Au (0.450, 0.450, 0.000)
Au (0.550, 0.550, 0.000)
Au (0.694, 0.194, 0.500)

* formation enthalpy at 0 K: -259 meV per atom
* electronic total energy: -3.161 eV/atom
* calculated volume: 32.5 A^3/atom
* SG: Immm

Density functional theory data (PBE) for an optimized crystal structure of Co2AgCl8.

a b c (Å): 9.931 9.931 12.051
angles (deg): 125.18 125.18 49.81
Positions (direct):
Co (0.154, 0.666, 0.960)
Co (0.334, 0.846, 0.540)
Co (0.666, 0.154, 0.460)
Co (0.846, 0.334, 0.040)
Ag (0.010, 0.990, 0.750)
Ag (0.990, 0.010, 0.250)
Cl (0.125, 0.199, 0.040)
Cl (0.144, 0.677, 0.780)
Cl (0.166, 0.720, 0.339)
Cl (0.199, 0.125, 0.540)
Cl (0.280, 0.834, 0.161)
Cl (0.307, 0.387, 0.957)
Cl (0.323, 0.856, 0.720)
Cl (0.387, 0.307, 0.457)
Cl (0.613, 0.693, 0.543)
Cl (0.677, 0.144, 0.280)
Cl (0.693, 0.613, 0.043)
Cl (0.720, 0.166, 0.839)
Cl (0.801, 0.875, 0.460)
Cl (0.834, 0.280, 0.661)
Cl (0.856, 0.323, 0.220)
Cl (0.875, 0.801, 0.960)

* electronic total energy: -3.345 eV/atom
* calculated volume: 31.9 A^3/atom
* SG: C2/c

Density functional theory data (PBE) for an optimized crystal structure of Tb3NdTl2.

a b c (Å): 5.160 10.116 6.858
angles (deg): 90.00 90.00 90.00
Positions (direct):
Tb (0.000, 0.044, 0.000)
Tb (0.000, 0.309, 0.372)
Tb (0.000, 0.691, 0.872)
Tb (0.000, 0.956, 0.500)
Tb (0.500, 0.183, 0.718)
Tb (0.500, 0.817, 0.218)
Nd (0.500, 0.457, 0.096)
Nd (0.500, 0.543, 0.596)
Tl (0.000, 0.363, 0.834)
Tl (0.000, 0.637, 0.334)
Tl (0.500, 0.132, 0.255)
Tl (0.500, 0.868, 0.755)

* formation enthalpy at 0 K: -271 meV per atom
* electronic total energy: -4.170 eV/atom
* excess energy over the best structure of this formula in the dataset: 0 kJ/mol of formula units
* calculated volume: 29.8 A^3/atom
* SG: Pmc2_1

Density functional theory data (PBE) for an optimized crystal structure of Na2As4Rh5.

a b c (Å): 8.776 7.698 5.822
angles (deg): 79.62 59.64 40.74
Positions (direct):
Na (0.120, 0.120, 0.880)
Na (0.880, 0.880, 0.120)
As (0.213, 0.530, 0.470)
As (0.470, 0.787, 0.213)
As (0.530, 0.213, 0.787)
As (0.787, 0.470, 0.530)
Rh (0.000, 0.000, 0.500)
Rh (0.250, 0.250, 0.250)
Rh (0.500, 0.500, 0.000)
Rh (0.500, 0.500, 0.500)
Rh (0.750, 0.750, 0.750)

* formation enthalpy at 0 K: -400 meV per atom
* electronic total energy: -5.672 eV/atom
* calculated volume: 18.8 A^3/atom
* SG: Fmmm

Density functional theory data (PBE) for an optimized crystal structure of Cu2HgAu6.

a b c (Å): 8.630 9.208 3.931
angles (deg): 90.00 90.00 90.00
Positions (direct):
Cu (0.174, 0.176, 0.000)
Cu (0.326, 0.676, 0.500)
Cu (0.674, 0.324, 0.500)
Cu (0.826, 0.824, 0.000)
Hg (0.000, 0.000, 0.500)
Hg (0.500, 0.500, 0.000)
Au (0.003, 0.329, 0.500)
Au (0.168, 0.828, 0.000)
Au (0.170, 0.505, 0.000)
Au (0.330, 0.005, 0.500)
Au (0.332, 0.328, 0.500)
Au (0.497, 0.829, 0.000)
Au (0.503, 0.171, 0.000)
Au (0.668, 0.672, 0.500)
Au (0.670, 0.995, 0.500)
Au (0.830, 0.495, 0.000)
Au (0.832, 0.172, 0.000)
Au (0.997, 0.671, 0.500)

* formation enthalpy at 0 K: 28 meV per atom
* electronic total energy: -3.101 eV/atom
* calculated volume: 17.4 A^3/atom
* SG: Pnnm

Density functional theory data (PBE) for an optimized crystal structure of RbHfInBr6.

a b c (Å): 7.949 7.949 13.709
angles (deg): 90.00 90.00 120.00
Positions (direct):
Rb (0.000, 0.000, 0.000)
Rb (0.000, 0.000, 0.500)
Hf (0.333, 0.667, 0.250)
Hf (0.667, 0.333, 0.750)
In (0.333, 0.667, 0.750)
In (0.667, 0.333, 0.250)
Br (0.061, 0.400, 0.139)
Br (0.061, 0.661, 0.361)
Br (0.339, 0.400, 0.361)
Br (0.339, 0.939, 0.139)
Br (0.400, 0.061, 0.639)
Br (0.400, 0.339, 0.861)
Br (0.600, 0.661, 0.139)
Br (0.600, 0.939, 0.361)
Br (0.661, 0.061, 0.861)
Br (0.661, 0.600, 0.639)
Br (0.939, 0.339, 0.639)
Br (0.939, 0.600, 0.861)

* electronic total energy: -3.984 eV/atom
* calculated volume: 41.7 A^3/atom
* SG: P-31c